*a*
VASP calculation (GGA+U) on a relaxed structure of MgFeF5.

Cell lengths 5.1465, 9.7143, 7.5461 Å; angles 90.00, 109.08, 90.00 degrees
Last column: nearest neighbours and their distance in Å.
Space group P2_1/c (No. 14)
Unique sites:
Mg  0.0173  0.0118  0.2212 (multiplicity 4)  5 F 1.95-2.10
Fe  0.3987  0.2397  0.6240 (multiplicity 4)  6 F 1.88-2.05
F  0.1035  0.1120  0.6127 (multiplicity 4)  1 Fe 1.94, 1 Mg 1.98
F  0.1430  0.1078  0.0128 (multiplicity 4)  1 Fe 1.98, 2 Mg 2.05-2.10
F  0.2949  0.6384  0.3400 (multiplicity 4)  1 Fe 1.92, 1 Mg 1.96
F  0.3331  0.1809  0.3570 (multiplicity 4)  2 Fe 2.01-2.05
F  0.3555  0.5947  0.7746 (multiplicity 4)  1 Fe 1.88, 1 Mg 1.95

Calculated values
- Total magnetic moment: 19.96 Bohr magnetons per cell

***

*b*
VASP calculation (GGA+U) on a relaxed structure of MgFeF5.

Cell lengths 3.6052, 6.5485, 7.8275 Å; angles 90.00, 90.00, 90.00 degrees
Last column: nearest neighbours and their distance in Å.
Space group Immm (No. 71)
Unique sites:
Mg  0.0000  0.0000  0.0000 (multiplicity 2)  2 F 1.80
Fe  0.0000  0.0000  0.5000 (multiplicity 2)  2 F 1.84
F  0.0000  0.0000  0.2648 (multiplicity 4)  1 Fe 1.84
F  0.0000  0.3165  0.0000 (multiplicity 4)  1 Mg 2.07, 2 Fe 2.17
F  0.0000  0.5000  0.5000 (multiplicity 2)  2 Mg 1.80

Calculated values
- Total magnetic moment: 10.00 Bohr magnetons per cell

***

Stability, highest: *a*

***

*a*
VASP calculation (GGA+U) on a relaxed structure of Mg3FeF.

Cell lengths 4.4081, 4.4081, 4.4081 Å; angles 90.00, 90.00, 90.00 degrees
Last column: nearest neighbours and their distance in Å.
Space group Pm-3m (No. 221)
Unique sites:
Mg  0.0000  0.0000  0.5000 (multiplicity 3)  2 F 2.20
Fe  0.5000  0.5000  0.5000 (multiplicity 1)  12 Mg 3.12
F  0.0000  0.0000  0.0000 (multiplicity 1)  6 Mg 2.20

Calculated values
- Total magnetic moment: 2.42 Bohr magnetons per cell

***

*b*
VASP calculation (GGA+U) on a relaxed structure of Mg3FeF.

Cell lengths 5.1324, 5.1324, 5.1324 Å; angles 90.00, 90.00, 90.00 degrees
Last column: nearest neighbours and their distance in Å.
Space group Pm-3m (No. 221)
Unique sites:
Mg  0.0000  0.0000  0.5000 (multiplicity 3)  2 Fe 2.57
Fe  0.0000  0.0000  0.0000 (multiplicity 1)  6 Mg 2.57
F  0.5000  0.5000  0.5000 (multiplicity 1)  12 Mg 3.63

Calculated values
- Total magnetic moment: 3.32 Bohr magnetons per cell

***

Stability, highest: *a*

***

*a*
VASP calculation (GGA+U) on a relaxed structure of MgFe2F.

Cell lengths 6.3537, 6.3537, 6.3537 Å; angles 90.00, 90.00, 90.00 degrees
Last column: nearest neighbours and their distance in Å.
Space group Fm-3m (No. 225)
Unique sites:
Mg  0.0000  0.0000  0.0000 (multiplicity 4)  8 Fe 2.75
Fe  0.2500  0.2500  0.2500 (multiplicity 8)  4 F 2.75, 4 Mg 2.75
F  0.0000  0.0000  0.5000 (multiplicity 4)  8 Fe 2.75

Calculated values
- Total magnetic moment: 24.26 Bohr magnetons per cell

***

*b*
VASP calculation (GGA+U) on a relaxed structure of MgFe2F.

Cell lengths 7.6117, 7.6117, 4.4816 Å; angles 90.00, 90.00, 90.00 degrees
Last column: nearest neighbours and their distance in Å.
Space group I-42d (No. 122)
Unique sites:
Mg  0.0000  0.0000  0.0000 (multiplicity 4)  2 F 2.24
Fe  0.1790  0.2500  0.6250 (multiplicity 8)  2 F 2.41, 2 Fe 2.49
F  0.0000  0.0000  0.5000 (multiplicity 4)  2 Mg 2.24, 4 Fe 2.41

Calculated values
- Total magnetic moment: 26.86 Bohr magnetons per cell

***

Stability, highest: *b*

***

*a*
VASP calculation (GGA+U) on a relaxed structure of MgFe8O14F2.

Cell lengths 5.5557, 6.8741, 7.4025 Å; angles 79.07, 70.98, 75.42 degrees
Last column: nearest neighbours and their distance in Å.
Space group P1 (No. 1)
Unique sites:
Mg  0.0000  0.0000  0.0000 (multiplicity 1)  5 O 1.94-2.16, 1 F 1.96
Fe  0.3399  0.2970  0.5896 (multiplicity 1)  5 O 1.93-2.15, 1 F 2.03
Fe  0.3483  0.3310  0.1039 (multiplicity 1)  5 O 1.88-1.96, 1 F 2.08
Fe  0.4219  0.8072  0.6108 (multiplicity 1)  4 O 1.74-1.92
Fe  0.4346  0.8070  0.1215 (multiplicity 1)  5 O 1.95-2.10
Fe  0.7845  0.1180  0.7189 (multiplicity 1)  4 O 1.83-2.05
Fe  0.8669  0.5643  0.8565 (multiplicity 1)  5 O 1.92-2.11, 1 F 2.06
Fe  0.8830  0.5636  0.3591 (multiplicity 1)  6 O 1.94-2.00
Fe  0.9061  0.0545  0.3608 (multiplicity 1)  5 O 1.92-2.04, 1 F 2.13
O  0.0229  0.4922  0.0891 (multiplicity 1)  3 Fe 1.89-2.10
O  0.0413  0.7978  0.2550 (multiplicity 1)  3 Fe 1.94-2.10, 1 Mg 2.16
O  0.1010  0.9854  0.5623 (multiplicity 1)  3 Fe 1.88-2.04
O  0.2119  0.0917  0.1527 (multiplicity 1)  3 Fe 1.91-2.04
O  0.2156  0.3905  0.3666 (multiplicity 1)  3 Fe 1.93-1.94
O  0.3160  0.8342  0.8548 (multiplicity 1)  1 Fe 1.74, 1 Mg 1.94
O  0.4673  0.2672  0.8385 (multiplicity 1)  2 Fe 1.83-1.96
O  0.5429  0.5345  0.0466 (multiplicity 1)  3 Fe 1.88-1.95
O  0.5519  0.7397  0.3518 (multiplicity 1)  3 Fe 1.92-1.95
O  0.5805  0.0261  0.5586 (multiplicity 1)  3 Fe 1.85-2.00
O  0.7395  0.3214  0.4598 (multiplicity 1)  3 Fe 1.94-2.15
O  0.7472  0.6337  0.6209 (multiplicity 1)  3 Fe 1.91-2.00
O  0.7647  0.8666  0.9189 (multiplicity 1)  3 Fe 2.03-2.11, 1 Mg 2.06
O  0.9964  0.2634  0.7928 (multiplicity 1)  3 Fe 1.98-2.10, 1 Mg 2.14
F  0.2256  0.5834  0.6643 (multiplicity 1)  3 Fe 2.01-2.06
F  0.6770  0.1452  0.1658 (multiplicity 1)  1 Mg 1.96, 2 Fe 2.08-2.13

Calculated values
- Total magnetic moment: 25.96 Bohr magnetons per cell

***

*b*
VASP calculation (GGA+U) on a relaxed structure of MgFe8O14F2.

Cell lengths 4.8188, 4.8424, 11.7772 Å; angles 89.36, 89.79, 89.67 degrees
Last column: nearest neighbours and their distance in Å.
Space group P1 (No. 1)
Unique sites:
Mg  0.0000  0.0000  0.0000 (multiplicity 1)  5 O 1.91-2.11, 1 F 2.05
Fe  0.0213  0.5010  0.4998 (multiplicity 1)  5 O 1.90-2.12
Fe  0.0266  0.5163  0.2578 (multiplicity 1)  4 O 1.91-2.12
Fe  0.0646  0.4998  0.9910 (multiplicity 1)  4 O 1.89-1.97
Fe  0.4905  0.9701  0.1330 (multiplicity 1)  5 O 1.88-1.99
Fe  0.5204  0.9918  0.6176 (multiplicity 1)  4 O 1.89-2.12, 1 F 2.11
Fe  0.5196  0.9974  0.8724 (multiplicity 1)  5 O 1.94-2.12, 1 F 2.04
Fe  0.5241  0.0089  0.3738 (multiplicity 1)  5 O 1.89-2.12
Fe  0.9804  0.5279  0.7457 (multiplicity 1)  5 O 1.97-2.11
O  0.1668  0.7206  0.1209 (multiplicity 1)  3 Fe 1.94-2.00, 1 Mg 2.11
O  0.1769  0.7490  0.8755 (multiplicity 1)  3 Fe 1.89-2.11, 1 Mg 2.09
O  0.1975  0.6964  0.6188 (multiplicity 1)  3 Fe 1.90-2.12
O  0.2091  0.6945  0.3801 (multiplicity 1)  2 Fe 1.91
O  0.3355  0.1923  0.4943 (multiplicity 1)  3 Fe 1.91-2.12
O  0.3408  0.1947  0.2498 (multiplicity 1)  2 Fe 1.90-1.92
O  0.3459  0.2039  0.0068 (multiplicity 1)  1 Mg 1.94, 3 Fe 1.97-2.06
O  0.6707  0.7833  0.0067 (multiplicity 1)  1 Mg 1.91, 2 Fe 1.95-2.02
O  0.6836  0.8096  0.7441 (multiplicity 1)  3 Fe 1.89-1.97
O  0.6928  0.8016  0.2517 (multiplicity 1)  2 Fe 1.88-1.94
O  0.7089  0.8135  0.4917 (multiplicity 1)  2 Fe 1.89-1.94
O  0.8309  0.3130  0.6184 (multiplicity 1)  2 Fe 1.90-1.97
O  0.8381  0.3137  0.3768 (multiplicity 1)  3 Fe 1.93-2.12
O  0.8509  0.2808  0.8823 (multiplicity 1)  3 Fe 1.97-2.12, 1 Mg 2.06
F  0.3327  0.2260  0.7470 (multiplicity 1)  3 Fe 2.04-2.23
F  0.8538  0.2664  0.1210 (multiplicity 1)  1 Mg 2.05, 3 Fe 2.15-2.27

Calculated values
- Total magnetic moment: 1.14 Bohr magnetons per cell

***

*c*
VASP calculation (GGA+U) on a relaxed structure of MgFe8O14F2.

Cell lengths 5.7509, 7.2841, 7.7354 Å; angles 83.26, 71.69, 70.88 degrees
Last column: nearest neighbours and their distance in Å.
Space group P1 (No. 1)
Unique sites:
Mg  0.0000  0.0000  0.0000 (multiplicity 1)  5 O 2.02-2.20, 1 F 2.07
Fe  0.1344  0.3718  0.6083 (multiplicity 1)  6 O 1.93-2.11
Fe  0.1852  0.8671  0.5812 (multiplicity 1)  5 O 1.89-1.95
Fe  0.3971  0.1499  0.8523 (multiplicity 1)  4 O 1.87-1.93, 1 F 2.09
Fe  0.4667  0.6055  0.8133 (multiplicity 1)  5 O 1.90-1.96
Fe  0.5178  0.4004  0.1596 (multiplicity 1)  4 O 1.91-1.96, 1 F 2.08
Fe  0.5679  0.8651  0.1395 (multiplicity 1)  4 O 1.91-1.98
Fe  0.8067  0.1440  0.4117 (multiplicity 1)  4 O 1.91-1.98, 1 F 2.03
Fe  0.8713  0.6546  0.3738 (multiplicity 1)  5 O 1.87-1.98
O  0.0546  0.2684  0.8536 (multiplicity 1)  2 Fe 1.87-1.93
O  0.0594  0.1444  0.5341 (multiplicity 1)  3 Fe 1.94-2.03
O  0.2052  0.4687  0.3562 (multiplicity 1)  3 Fe 1.91-1.96
O  0.2304  0.6027  0.6784 (multiplicity 1)  3 Fe 1.95-2.11
O  0.2730  0.0510  0.0892 (multiplicity 1)  2 Fe 1.90-1.91, 1 Mg 2.05
O  0.3144  0.8827  0.7797 (multiplicity 1)  2 Fe 1.93-1.94, 1 Mg 2.07
O  0.4756  0.3595  0.9288 (multiplicity 1)  3 Fe 1.90-1.94
O  0.4855  0.2129  0.5995 (multiplicity 1)  3 Fe 1.90-1.96
O  0.5159  0.7962  0.3933 (multiplicity 1)  3 Fe 1.92-1.95
O  0.5327  0.6477  0.0349 (multiplicity 1)  3 Fe 1.95-1.96
O  0.6836  0.1274  0.2035 (multiplicity 1)  2 Fe 1.95-1.98, 1 Mg 2.02
O  0.7932  0.5452  0.6176 (multiplicity 1)  3 Fe 1.94-1.96
O  0.9333  0.7415  0.1317 (multiplicity 1)  2 Fe 1.87-1.98
O  0.9579  0.8686  0.4496 (multiplicity 1)  3 Fe 1.89-1.98
F  0.7555  0.9655  0.8680 (multiplicity 1)  1 Mg 2.07, 2 Fe 2.09-2.20
F  0.7706  0.4131  0.2973 (multiplicity 1)  3 Fe 2.03-2.21

Calculated values
- Total magnetic moment: 34.00 Bohr magnetons per cell

***

Stability, highest: *c*

***

*a*
VASP calculation (GGA+U) on a relaxed structure of MnFe2F6.

Cell lengths 5.2899, 5.2899, 4.7749 Å; angles 90.00, 90.00, 120.00 degrees
Last column: nearest neighbours and their distance in Å.
Space group P-31m (No. 162)
Unique sites:
Mn  0.0000  0.0000  0.0000 (multiplicity 1)  6 F 2.16
Fe  0.3333  0.6667  0.5000 (multiplicity 2)  6 F 2.10
F  0.0000  0.3319  0.2629 (multiplicity 6)  2 Fe 2.10, 1 Mn 2.16

Calculated values
- Total magnetic moment: 13.00 Bohr magnetons per cell

***

*b*
VASP calculation (GGA+U) on a relaxed structure of MnFe2F6.

Cell lengths 4.8568, 4.8568, 9.9822 Å; angles 90.00, 90.00, 90.00 degrees
Last column: nearest neighbours and their distance in Å.
Space group P4_2/mnm (No. 136)
Unique sites:
Mn  0.0000  0.0000  0.0000 (multiplicity 2)  6 F 2.11-2.17
Fe  0.0000  0.0000  0.3336 (multiplicity 4)  6 F 2.05-2.15
F  0.1933  0.1933  0.5000 (multiplicity 4)  1 Mn 2.11, 2 Fe 2.13
F  0.2011  0.2011  0.1682 (multiplicity 8)  2 Fe 2.05-2.15, 1 Mn 2.17

Calculated values
- Total magnetic moment: 26.01 Bohr magnetons per cell

***

Stability, highest: *b*

***

*a*
VASP calculation (GGA+U) on a relaxed structure of MnFeOF2.

Cell lengths 4.0024, 4.0024, 4.0426 Å; angles 90.00, 90.00, 90.00 degrees
Last column: nearest neighbours and their distance in Å.
Space group P4/mmm (No. 123)
Unique sites:
Mn  0.0000  0.0000  0.0000 (multiplicity 1)  4 O 2.83, 8 F 2.84
Fe  0.5000  0.5000  0.5000 (multiplicity 1)  4 F 2.00, 2 O 2.02
O  0.5000  0.5000  0.0000 (multiplicity 1)  2 Fe 2.02
F  0.0000  0.5000  0.5000 (multiplicity 2)  2 Fe 2.00

Calculated values
- Total magnetic moment: 9.14 Bohr magnetons per cell

***

*b*
VASP calculation (GGA+U) on a relaxed structure of MnFeOF2.

Cell lengths 4.0481, 4.0481, 3.9312 Å; angles 90.00, 90.00, 90.00 degrees
Last column: nearest neighbours and their distance in Å.
Space group P4/mmm (No. 123)
Unique sites:
Mn  0.0000  0.0000  0.0000 (multiplicity 1)  2 O 1.97, 4 F 2.02
Fe  0.5000  0.5000  0.5000 (multiplicity 1)  8 F 2.82, 4 O 2.86
O  0.0000  0.0000  0.5000 (multiplicity 1)  2 Mn 1.97
F  0.0000  0.5000  0.0000 (multiplicity 2)  2 Mn 2.02

Calculated values
- Total magnetic moment: 7.88 Bohr magnetons per cell

***

Stability, highest: *a*